(1)
Compound: PmZn2GaNi
Source: Alexandria
Functional: PBE
Structure: optimized geometry

a = 4.033 Å, b = 4.184 Å, c = 10.720 Å
α = 90.00°, β = 90.00°, γ = 90.00°
Space group Imm2 (No. 44)
One atom of each set of equivalent atoms:
Pm 0.000 0.000 0.000 x2
Zn 0.000 0.000 0.610 x2
Zn 0.000 0.500 0.262 x2
Ga 0.000 0.500 0.760 x2
Ni 0.000 0.000 0.386 x2

D(E_F) (states/eV per cell): 7.24


(2)
Compound: HfTi8
Source: Alexandria
Functional: PBE
Structure: optimized geometry

a = 8.823 Å, b = 8.823 Å, c = 4.130 Å
α = 90.00°, β = 90.00°, γ = 90.00°
Space group I4/mmm (No. 139)
One atom of each set of equivalent atoms:
Hf 0.000 0.000 0.000 x2
Ti 0.000 0.336 0.000 x8
Ti 0.171 0.171 0.500 x8

D(E_F) (states/eV per cell): 29.96


(3)
Compound: Tb3Sm7Dy
Source: Alexandria
Functional: PBE
Structure: optimized geometry

a = 7.049 Å, b = 5.622 Å, c = 10.016 Å
α = 90.00°, β = 110.50°, γ = 90.00°
Space group P2/m (No. 10)
One atom of each set of equivalent atoms:
Tb 0.000 0.000 0.000 x1
Tb 0.280 0.500 0.500 x2
Sm 0.000 0.000 0.500 x1
Sm 0.145 0.500 0.791 x2
Sm 0.321 0.500 0.139 x2
Sm 0.415 0.000 0.329 x2
Dy 0.500 0.000 0.000 x1

D(E_F) (states/eV per cell): 15.23
Energy relative to the lowest polymorph listed for this composition (meV/atom): 0


DFT formation energy? In order: -404; 73; 125 meV per atom.